HfPtRh GGA-PBE relaxed; total energy = -52.1 eV/cell; magnetization = 0.00 μB per cell; formation energy = -2.703 eV/f.u.; crystal system = triclinic; symmetry = P-1
1.0
4.980 0.000 0.000
-2.431 4.354 0.000
-1.080 -1.841 4.621
Hf Pt Rh
2 2 2
Cartesian
-0.657 1.227 1.153
2.126 1.286 3.468
-0.270 -0.234 3.465
1.739 2.747 1.156
1.703 -0.155 1.159
-0.235 2.668 3.462



SnAsPd GGA-PBE relaxed; total energy = -14.6 eV/cell; magnetization = 0.00 μB per cell; formation energy = -0.795 eV/f.u.; crystal system = cubic; symmetry = F-43m
1.0
0.000 3.181 3.181
3.181 0.000 3.181
3.181 3.181 0.000
Sn As Pd
1 1 1
Cartesian
0.000 0.000 0.000
3.181 3.181 3.181
4.772 4.772 4.772



CaCrGa2Si GGA-PBE relaxed; formation energy from raw total energies = 1.75 eV/atom; total energy = -14.4 eV/cell; magnetization = 0.66 μB per cell; crystal system = tetragonal; symmetry = P4/mmm
1.0
5.285 0.000 0.000
0.000 5.285 0.000
0.000 0.000 5.239
Ca Cr Ga Si
1 1 2 1
Cartesian
0.000 0.000 0.000
2.642 2.642 2.619
0.000 2.642 0.000
2.642 0.000 0.000
0.000 0.000 2.619



TmCdIr GGA-PBE relaxed; total energy = -30.7 eV/cell; magnetization = 0.00 μB per cell; formation energy = -1.092 eV/f.u.; crystal system = monoclinic; symmetry = P2_1/m
1.0
5.150 0.000 0.000
0.000 4.262 0.000
-1.810 0.000 6.529
Tm Cd Ir
2 2 2
Cartesian
0.377 1.065 2.867
2.963 3.196 3.662
-0.640 1.065 6.155
3.979 3.196 0.374
0.389 3.196 4.693
2.950 1.065 1.836



ScReB2 GGA-PBE relaxed; total energy = -135.9 eV/cell; magnetization = 0.00 μB per cell; formation energy = -1.841 eV/f.u.; crystal system = orthorhombic; symmetry = Pnma
1.0
5.904 0.000 0.000
0.000 3.225 0.000
0.000 0.000 10.063
Sc Re B
4 4 8
Cartesian
0.650 0.806 1.427
2.302 2.419 6.459
3.602 0.806 3.605
5.254 2.419 8.636
0.821 0.806 4.412
2.131 2.419 9.443
3.773 0.806 0.620
5.083 2.419 5.652
0.205 0.806 6.788
1.301 0.806 8.152
1.651 2.419 3.121
2.747 2.419 1.756
3.157 0.806 8.307
4.253 0.806 6.943
4.603 2.419 1.911
5.699 2.419 3.276



Question: Among the records above, which one has the highest total energy?
Answer: CaCrGa2Si